1.
# MnCdSe2N

A geometry-optimized MnCdSe2N structure (PBE-GGA, Alexandria).

The structure belongs to space group P4/mmm (No. 123); the cell edges are 5.0996, 5.0996 and 3.5020 Å and the angles 90.00°, 90.00° and 90.00°. The inequivalent atoms are Mn at (0.0000, 0.0000, 0.0000), Cd at (0.5000, 0.5000, 0.5000), Se at (0.0000, 0.5000, 0.0000) and N at (0.0000, 0.0000, 0.5000).

As for the density of states at the Fermi level: 1.909 states/eV/cell. For the energy above the most stable polymorph in this dataset, the calculation gives 0.0 meV/atom. For the total magnetization, the calculation gives 0.35 μB/atom. The value obtained for the formation energy without anion corrections is 66.0 meV per atom.

2.
# MnCdSeN2

A geometry-optimized MnCdSeN2 structure (PBE-GGA, Alexandria).

The structure belongs to space group P4/mmm (No. 123); the cell edges are 4.1668, 4.1668 and 5.9854 Å and the angles 90.00°, 90.00° and 90.00°. The inequivalent atoms are Mn at (0.0000, 0.0000, 0.0000), Cd at (0.5000, 0.5000, 0.5000), Se at (0.5000, 0.5000, 0.0000) and N at (0.0000, 0.5000, 0.5000).

As for the density of states at the Fermi level: 1.953 states/eV/cell. For the energy above the most stable polymorph in this dataset, the calculation gives 1178.6 meV/atom. For the total magnetization, the calculation gives 1.69 μB/atom. The value obtained for the formation energy without anion corrections is 1663.7 meV per atom.

3.
# MnCdSe2N

A geometry-optimized MnCdSe2N structure (PBE-GGA, Alexandria).

The structure belongs to space group P4/mmm (No. 123); the cell edges are 5.3159, 5.3159 and 4.1351 Å and the angles 90.00°, 90.00° and 90.00°. The inequivalent atoms are Mn at (0.0000, 0.0000, 0.0000), Cd at (0.5000, 0.5000, 0.5000), Se at (0.0000, 0.5000, 0.5000) and N at (0.5000, 0.5000, 0.0000).

As for the density of states at the Fermi level: 2.531 states/eV/cell. For the energy above the most stable polymorph in this dataset, the calculation gives 1031.2 meV/atom. For the total magnetization, the calculation gives 1.37 μB/atom. The value obtained for the formation energy without anion corrections is 1097.2 meV per atom.

4.
# Sr2MnCdN

A geometry-optimized Sr2MnCdN structure (PBE-GGA, Alexandria).

The structure belongs to space group P4/mmm (No. 123); the cell edges are 5.5907, 5.5907 and 3.7967 Å and the angles 90.00°, 90.00° and 90.00°. The inequivalent atoms are Sr at (0.0000, 0.5000, 0.0000), Mn at (0.0000, 0.0000, 0.5000), Cd at (0.5000, 0.5000, 0.5000) and N at (0.0000, 0.0000, 0.0000).

As for the density of states at the Fermi level: 2.447 states/eV/cell. For the total magnetization, the calculation gives 0.53 μB/atom. The value obtained for the formation energy without anion corrections is -347.4 meV per atom.

5.
# Mn2CdTcN

A geometry-optimized Mn2CdTcN structure (PBE-GGA, Alexandria).

The structure belongs to space group P4/mmm (No. 123); the cell edges are 4.0650, 4.0650 and 4.0522 Å and the angles 90.00°, 90.00° and 90.00°. The inequivalent atoms are Mn at (0.0000, 0.5000, 0.0000), Cd at (0.0000, 0.0000, 0.5000), Tc at (0.5000, 0.5000, 0.5000) and N at (0.5000, 0.5000, 0.0000).

As for the density of states at the Fermi level: 2.913 states/eV/cell. For the total magnetization, the calculation gives 1.25 μB/atom. The value obtained for the formation energy without anion corrections is -32.1 meV per atom.

6.
# MnTl2CdN

A geometry-optimized MnTl2CdN structure (PBE-GGA, Alexandria).

The structure belongs to space group P4/mmm (No. 123); the cell edges are 5.6963, 5.6963 and 5.2744 Å and the angles 90.00°, 90.00° and 90.00°. The inequivalent atoms are Mn at (0.0000, 0.0000, 0.0000), Tl at (0.0000, 0.5000, 0.5000), Cd at (0.0000, 0.0000, 0.5000) and N at (0.5000, 0.5000, 0.0000).

As for the density of states at the Fermi level: 3.946 states/eV/cell. For the total magnetization, the calculation gives 0.55 μB/atom. The value obtained for the formation energy without anion corrections is 1604.0 meV per atom.

7.
# Zr2MnCdN

A geometry-optimized Zr2MnCdN structure (PBE-GGA, Alexandria).

The structure belongs to space group P4/mmm (No. 123); the cell edges are 4.5843, 4.5843 and 3.8958 Å and the angles 90.00°, 90.00° and 90.00°. The inequivalent atoms are Zr at (0.0000, 0.5000, 0.0000), Mn at (0.0000, 0.0000, 0.5000), Cd at (0.5000, 0.5000, 0.5000) and N at (0.0000, 0.0000, 0.0000).

As for the density of states at the Fermi level: 3.955 states/eV/cell. For the total magnetization, the calculation gives 0.39 μB/atom. The value obtained for the formation energy without anion corrections is -581.6 meV per atom.

8.
# Na2Mn4Cd

A geometry-optimized Na2Mn4Cd structure (PBE-GGA, Alexandria).

The structure belongs to space group I4/mmm (No. 139); the cell edges are 5.0865, 5.0865 and 15.3624 Å and the angles 90.00°, 90.00° and 90.00°. The inequivalent atoms are Na at (0.0000, 0.0000, 0.1280), Mn at (0.0000, 0.0000, 0.3263), Mn at (0.0000, 0.5000, 0.0000) and Cd at (0.0000, 0.0000, 0.5000).

As for the density of states at the Fermi level: 17.575 states/eV/cell. For the total magnetization, the calculation gives 0.10 μB/atom. As for the final energy: -31.70 eV per formula unit.

9.
# NaMnCd2

A geometry-optimized NaMnCd2 structure (PBE-GGA, Alexandria).

The structure belongs to space group I-42d (No. 122); the cell edges are 4.3815, 4.3815 and 20.2859 Å and the angles 90.00°, 90.00° and 90.00°. The inequivalent atoms are Na at (0.0000, 0.0000, 0.0000), Mn at (0.0000, 0.0000, 0.5000) and Cd at (0.2334, 0.2500, 0.6250).

As for the density of states at the Fermi level: 10.349 states/eV/cell. For the energy above the most stable polymorph in this dataset, the calculation gives 262.7 meV/atom. For the total magnetization, the calculation gives 1.06 μB/atom.

10.
# NaMnCd3

A geometry-optimized NaMnCd3 structure (PBE-GGA, Alexandria).

The structure belongs to space group Pm-3m (No. 221); the cell edges are 5.2349, 5.2349 and 5.2349 Å and the angles 90.00°, 90.00° and 90.00°. The inequivalent atoms are Na at (0.0000, 0.0000, 0.0000), Mn at (0.5000, 0.5000, 0.5000) and Cd at (0.0000, 0.5000, 0.5000).

As for the density of states at the Fermi level: 7.258 states/eV/cell. For the energy above the most stable polymorph in this dataset, the calculation gives 0.0 meV/atom. For the total magnetization, the calculation gives 0.70 μB/atom.

11.
# NaMn2Cd

A geometry-optimized NaMn2Cd structure (PBE-GGA, Alexandria).

The structure belongs to space group I-42d (No. 122); the cell edges are 7.7726, 7.7726 and 5.6301 Å and the angles 90.00°, 90.00° and 90.00°. The inequivalent atoms are Na at (0.0000, 0.0000, 0.0000), Mn at (0.2309, 0.2500, 0.6250) and Cd at (0.0000, 0.0000, 0.5000).

As for the density of states at the Fermi level: 17.103 states/eV/cell. For the total magnetization, the calculation gives 1.99 μB/atom. As for the final energy: -17.35 eV per formula unit.

12.
# Na2MnCd

A geometry-optimized Na2MnCd structure (PBE-GGA, Alexandria).

The structure belongs to space group I-42d (No. 122); the cell edges are 8.5069, 8.5069 and 5.7298 Å and the angles 90.00°, 90.00° and 90.00°. The inequivalent atoms are Na at (0.2464, 0.2500, 0.1250), Mn at (0.0000, 0.0000, 0.5000) and Cd at (0.0000, 0.0000, 0.0000).

As for the density of states at the Fermi level: 14.747 states/eV/cell. For the total magnetization, the calculation gives 1.08 μB/atom. As for the final energy: -10.63 eV per formula unit.

Q: Number 1 is which compound?
A: MnCdSe2N

Q: Which of these has the lowest total magnetization?
A: Na2Mn4Cd

Q: Which value of total magnetization does entry 10 give?
A: 0.70 μB/atom

Repeat the fourth record exactly.
# Sr2MnCdN

A geometry-optimized Sr2MnCdN structure (PBE-GGA, Alexandria).

The structure belongs to space group P4/mmm (No. 123); the cell edges are 5.5907, 5.5907 and 3.7967 Å and the angles 90.00°, 90.00° and 90.00°. The inequivalent atoms are Sr at (0.0000, 0.5000, 0.0000), Mn at (0.0000, 0.0000, 0.5000), Cd at (0.5000, 0.5000, 0.5000) and N at (0.0000, 0.0000, 0.0000).

As for the density of states at the Fermi level: 2.447 states/eV/cell. For the total magnetization, the calculation gives 0.53 μB/atom. The value obtained for the formation energy without anion corrections is -347.4 meV per atom.